Entry from the Alexandria database: a geometry-optimized Rb2AsPtBr6 structure (PBE-GGA).

## Properties
calculated volume: 31.12 Å³ per atom
space-group type: I4/mmm, No. 139
raw total energy: -3.08 eV per atom

CIF file:
```
data_Rb2AsPtBr6
_chemical_formula_sum 'Rb2 As1 Pt1 Br6'
_symmetry_space_group_name_H-M 'P 1'
_symmetry_Int_Tables_number 1
_symmetry_space_group_name_Hall 'P 1'
_cell_length_a 7.624
_cell_length_b 7.624
_cell_length_c 7.598
_cell_angle_alpha 59.88
_cell_angle_beta 59.88
_cell_angle_gamma 90.00
loop_
_atom_site_label
_atom_site_type_symbol
_atom_site_fract_x
_atom_site_fract_y
_atom_site_fract_z
Br1 Br 0.754 0.754 0.000
Br2 Br 0.246 0.754 0.000
Br3 Br 0.246 0.246 0.000
Br4 Br 0.246 0.246 0.509
Br5 Br 0.754 0.754 0.491
Br6 Br 0.754 0.246 0.000
Pt1 Pt 0.000 0.000 0.000
Rb1 Rb 0.750 0.250 0.500
Rb2 Rb 0.250 0.750 0.500
As1 As 0.500 0.500 0.000
```



Entry from the Alexandria database: a geometry-optimized ReAs2PtBr structure (PBE-GGA).

## Properties
calculated volume: 23.35 Å³ per atom
space-group type: P4/mmm, No. 123
ΔE to the lowest computed polymorph: 0 meV per atom
raw total energy: -4.90 eV per atom

CIF file:
```
data_ReAs2PtBr
_chemical_formula_sum 'Re1 As2 Pt1 Br1'
_symmetry_space_group_name_H-M 'P 1'
_symmetry_Int_Tables_number 1
_symmetry_space_group_name_Hall 'P 1'
_cell_length_a 4.715
_cell_length_b 4.715
_cell_length_c 5.252
_cell_angle_alpha 90.00
_cell_angle_beta 90.00
_cell_angle_gamma 90.00
loop_
_atom_site_label
_atom_site_type_symbol
_atom_site_fract_x
_atom_site_fract_y
_atom_site_fract_z
Br1 Br 0.000 0.000 0.500
As1 As 0.500 0.000 0.000
As2 As 0.000 0.500 0.000
Pt1 Pt 0.500 0.500 0.500
Re1 Re 0.000 0.000 0.000
```



Entry from the Alexandria database: a geometry-optimized AsPtRhBr2 structure (PBE-GGA).

## Properties
calculated volume: 26.15 Å³ per atom
space-group type: P4/mmm, No. 123
ΔE to the lowest computed polymorph: 68 meV per atom
raw total energy: -3.44 eV per atom

CIF file:
```
data_AsPtRhBr2
_chemical_formula_sum 'As1 Pt1 Rh1 Br2'
_symmetry_space_group_name_H-M 'P 1'
_symmetry_Int_Tables_number 1
_symmetry_space_group_name_Hall 'P 1'
_cell_length_a 5.267
_cell_length_b 5.267
_cell_length_c 4.713
_cell_angle_alpha 90.00
_cell_angle_beta 90.00
_cell_angle_gamma 90.00
loop_
_atom_site_label
_atom_site_type_symbol
_atom_site_fract_x
_atom_site_fract_y
_atom_site_fract_z
Pt1 Pt 0.000 0.000 0.000
Br1 Br 0.000 0.500 0.000
Br2 Br 0.500 0.000 0.000
As1 As 0.000 0.000 0.500
Rh1 Rh 0.500 0.500 0.500
```



Entry from the Alexandria database: a geometry-optimized As2PtRhBr structure (PBE-GGA).

## Properties
calculated volume: 22.47 Å³ per atom
space-group type: P4/mmm, No. 123
ΔE to the lowest computed polymorph: 0 meV per atom
raw total energy: -4.14 eV per atom

CIF file:
```
data_As2PtRhBr
_chemical_formula_sum 'As2 Pt1 Rh1 Br1'
_symmetry_space_group_name_H-M 'P 1'
_symmetry_Int_Tables_number 1
_symmetry_space_group_name_Hall 'P 1'
_cell_length_a 4.713
_cell_length_b 4.713
_cell_length_c 5.059
_cell_angle_alpha 90.00
_cell_angle_beta 90.00
_cell_angle_gamma 90.00
loop_
_atom_site_label
_atom_site_type_symbol
_atom_site_fract_x
_atom_site_fract_y
_atom_site_fract_z
Br1 Br 0.000 0.000 0.500
As1 As 0.000 0.500 0.000
As2 As 0.500 0.000 0.000
Rh1 Rh 0.000 0.000 0.000
Pt1 Pt 0.500 0.500 0.500
```



What is the calculated volume in the second record? 23.35 Å³ per atom



Copy entry 2 word for word.
Entry from the Alexandria database: a geometry-optimized ReAs2PtBr structure (PBE-GGA).

## Properties
calculated volume: 23.35 Å³ per atom
space-group type: P4/mmm, No. 123
ΔE to the lowest computed polymorph: 0 meV per atom
raw total energy: -4.90 eV per atom

CIF file:
```
data_ReAs2PtBr
_chemical_formula_sum 'Re1 As2 Pt1 Br1'
_symmetry_space_group_name_H-M 'P 1'
_symmetry_Int_Tables_number 1
_symmetry_space_group_name_Hall 'P 1'
_cell_length_a 4.715
_cell_length_b 4.715
_cell_length_c 5.252
_cell_angle_alpha 90.00
_cell_angle_beta 90.00
_cell_angle_gamma 90.00
loop_
_atom_site_label
_atom_site_type_symbol
_atom_site_fract_x
_atom_site_fract_y
_atom_site_fract_z
Br1 Br 0.000 0.000 0.500
As1 As 0.500 0.000 0.000
As2 As 0.000 0.500 0.000
Pt1 Pt 0.500 0.500 0.500
Re1 Re 0.000 0.000 0.000
```



Look up the calculated volume of the fourth one. 22.47 Å³ per atom